# BaGaN2F

A geometry-optimized BaGaN2F structure (PBE-GGA, the Alexandria database).

Results
* formation energy (no corrections): -0.71 eV/atom
* distance to the lowest polymorph of the same formula: 0 meV/atom

a = 3.901 Å, b = 3.901 Å, c = 4.793 Å
α = 90.00°, β = 90.00°, γ = 90.00°
Element x y z (fractional)
Ba: 0.000 0.000 0.000
Ga: 0.500 0.500 0.500
N: 0.000 0.500 0.500
N: 0.500 0.000 0.500
F: 0.500 0.500 0.000

---

# RbInSF2

A geometry-optimized RbInSF2 structure (PBE-GGA, the Alexandria database).

Results
* formation energy (no corrections): -1.83 eV/atom

a = 4.569 Å, b = 4.569 Å, c = 4.889 Å
α = 90.00°, β = 90.00°, γ = 90.00°
Element x y z (fractional)
Rb: 0.000 0.000 0.000
In: 0.500 0.500 0.500
S: 0.500 0.500 0.000
F: 0.000 0.500 0.500
F: 0.500 0.000 0.500

---

Repeat the first record exactly.
# BaGaN2F

A geometry-optimized BaGaN2F structure (PBE-GGA, the Alexandria database).

Results
* formation energy (no corrections): -0.71 eV/atom
* distance to the lowest polymorph of the same formula: 0 meV/atom

a = 3.901 Å, b = 3.901 Å, c = 4.793 Å
α = 90.00°, β = 90.00°, γ = 90.00°
Element x y z (fractional)
Ba: 0.000 0.000 0.000
Ga: 0.500 0.500 0.500
N: 0.000 0.500 0.500
N: 0.500 0.000 0.500
F: 0.500 0.500 0.000